[1]
Density functional theory data (SCAN) for a crystal of TcTe3 relaxed with PBEsol.

```
TcTe3
1.0
5.019 0.000 0.000
-1.673 4.732 0.000
-1.673 -2.366 4.098
Tc Te
1 3
Cartesian
0.000 0.000 0.000 Tc
-1.673 1.183 2.049 Te
1.673 -1.183 2.049 Te
1.673 2.366 0.000 Te
```

Total magnetic moment (μB/cell): 1.896
Formation energy (no corrections) (eV/f.u.): 2.027
Space group: Im-3m
Offset from the most stable computed form (meV/atom): 398


[2]
Density functional theory data (SCAN) for a crystal of YBe3Tl relaxed with PBEsol.

```
YBe3Tl
1.0
-4.354 0.271 -1.071
-0.611 -4.218 1.418
-0.921 1.520 4.125
Y Be Tl
1 3 1
Cartesian
-2.943 -1.214 2.236 Y
-0.306 -2.109 0.709 Be
-0.460 0.760 2.063 Be
-2.177 0.135 -0.536 Be
0.000 0.000 0.000 Tl
```

Total magnetic moment (μB/cell): 0.000
Energy of formation from the pure elements (eV/atom): 0.675
Space group: Pm-3m


[3]
Density functional theory data (SCAN) for a crystal of YZr3 relaxed with PBEsol.

```
YZr3
1.0
-2.286 -1.836 4.258
5.525 0.957 3.379
-4.485 4.757 -0.356
Y Zr
2 6
Cartesian
0.474 0.846 5.328 Y
-1.719 3.031 1.953 Y
-2.269 0.309 3.623 Zr
1.024 3.568 3.658 Zr
-4.587 2.767 3.439 Zr
3.342 1.110 3.842 Zr
-1.731 3.262 5.185 Zr
0.486 0.615 2.095 Zr
```

Total magnetic moment (μB/cell): 0.000
Energy of formation from the pure elements (eV/atom): 0.070
Space group: P6_3/mmc
Offset from the most stable computed form (meV/atom): 0


[4]
Density functional theory data (SCAN) for a crystal of KSrRuRh2 relaxed with PBEsol.

```
KSrRuRh2
1.0
4.852 0.000 0.000
0.000 4.852 0.000
0.000 0.000 5.184
Ru K Rh Sr
1 1 2 1
Cartesian
2.426 2.426 2.592 Ru
0.000 0.000 2.592 K
0.000 2.426 0.000 Rh
2.426 0.000 0.000 Rh
0.000 0.000 0.000 Sr
```

Total magnetic moment (μB/cell): 3.118
Energy of formation from the pure elements (eV/atom): 1.987
Space group: P4/mmm


[5]
Density functional theory data (SCAN) for a crystal of YCuI2N relaxed with PBEsol.

```
YCuI2N
1.0
4.078 0.000 0.000
0.000 5.985 0.000
0.000 0.000 5.985
I Y Cu N
2 1 1 1
Cartesian
0.000 0.000 2.992 I
0.000 2.992 0.000 I
0.000 0.000 0.000 Y
2.039 2.992 2.992 Cu
2.039 0.000 0.000 N
```

Total magnetic moment (μB/cell): 0.401
Formation energy (no corrections) (eV/f.u.): 0.694
Space group: P4/mmm


[6]
Density functional theory data (SCAN) for a crystal of BaIrBr2 relaxed with PBEsol.

```
BaIrBr2
1.0
3.664 0.000 0.000
0.000 3.664 0.000
0.000 0.000 7.641
Ir Ba Br
1 1 2
Cartesian
0.000 0.000 3.151 Ir
1.832 1.832 5.684 Ba
0.000 0.000 7.599 Br
1.832 1.832 2.669 Br
```

Total magnetic moment (μB/cell): 0.000
Formation energy (no corrections) (eV/f.u.): -1.582
Space group: P4mm
Offset from the most stable computed form (meV/atom): 207


[7]
Density functional theory data (SCAN) for a crystal of SrTl2Cl relaxed with PBEsol.

```
SrTl2Cl
1.0
-0.247 2.642 2.767
-3.132 -1.732 1.374
4.588 -4.551 4.718
Sr Tl Cl
1 2 1
Cartesian
1.566 -2.779 5.414 Sr
0.038 -0.036 0.043 Tl
-0.679 -0.540 3.120 Tl
2.329 0.080 5.410 Cl
```

Total magnetic moment (μB/cell): 0.000
Formation energy (no corrections) (eV/f.u.): -3.919
Space group: Pm
Offset from the most stable computed form (meV/atom): 0


[8]
Density functional theory data (SCAN) for a crystal of BaLi3S relaxed with PBEsol.

```
BaLi3S
1.0
4.902 0.000 0.000
0.000 4.902 0.000
0.000 0.000 4.902
S Ba Li
1 1 3
Cartesian
0.000 0.000 0.000 S
2.451 2.451 2.451 Ba
0.000 2.451 0.000 Li
0.000 0.000 2.451 Li
2.451 0.000 0.000 Li
```

Total magnetic moment (μB/cell): 0.004
Formation energy (no corrections) (eV/f.u.): -2.485
Space group: Pm-3m


[9]
Density functional theory data (SCAN) for a crystal of MnBrCl relaxed with PBEsol.

```
MnBrCl
1.0
3.276 0.000 0.000
0.000 3.276 0.000
-1.638 -1.638 6.290
Mn Br Cl
1 1 1
Cartesian
1.638 1.638 2.156 Mn
0.000 0.000 0.514 Br
0.000 0.000 3.619 Cl
```

Total magnetic moment (μB/cell): 5.000
Formation energy (no corrections) (eV/f.u.): -2.925
Space group: I4mm
Offset from the most stable computed form (meV/atom): 418


[10]
Density functional theory data (SCAN) for a crystal of CrAsRu2 relaxed with PBEsol.

```
CrAsRu2
1.0
2.789 0.000 0.000
-1.394 4.237 -0.061
0.000 -0.645 4.531
As Cr Ru
1 1 2
Cartesian
0.000 -0.323 2.265 As
1.394 0.000 0.000 Cr
1.394 1.731 3.418 Ru
0.000 1.861 1.051 Ru
```

Total magnetic moment (μB/cell): 1.985
Energy of formation from the pure elements (eV/atom): -0.020
Space group: C2/m


[11]
Density functional theory data (SCAN) for a crystal of TaBeTe relaxed with PBEsol.

```
TaBeTe
1.0
3.015 0.011 0.000
-0.408 2.988 0.000
-1.304 -1.500 6.553
Be Te Ta
1 1 1
Cartesian
0.000 0.000 0.487 Be
0.000 0.000 4.081 Te
1.304 1.500 1.984 Ta
```

Total magnetic moment (μB/cell): 0.000
Formation energy (no corrections) (eV/f.u.): 1.756
Space group: Fmm2
Offset from the most stable computed form (meV/atom): 0


[12]
Density functional theory data (SCAN) for a crystal of Bi12Br5O16 relaxed with PBEsol.

```
Bi12Br5O16
1.0
3.938 0.000 0.000
0.000 9.983 0.127
-1.969 0.065 15.340
Bi Br O
12 5 16
Cartesian
0.000 2.464 14.454 Bi
1.969 7.585 1.013 Bi
0.000 2.223 5.446 Bi
1.969 7.826 10.021 Bi
1.969 3.863 2.786 Bi
0.000 6.185 12.681 Bi
0.000 0.945 10.783 Bi
1.969 9.104 4.684 Bi
0.000 4.499 9.146 Bi
1.969 5.549 6.321 Bi
0.000 0.676 1.839 Bi
1.969 9.373 13.629 Bi
1.969 2.028 8.434 Br
0.000 8.021 7.033 Br
0.000 4.992 0.064 Br
0.000 6.416 3.553 Br
1.969 3.633 11.914 Br
0.000 0.691 13.088 O
1.969 9.357 2.379 O
0.000 0.091 4.080 O
1.969 9.957 11.387 O
0.000 8.626 0.652 O
1.969 1.422 14.815 O
1.969 2.093 1.352 O
0.000 7.956 14.115 O
0.000 4.575 6.901 O
1.969 5.474 8.566 O
0.000 6.333 10.477 O
1.969 3.715 4.990 O
1.969 1.060 5.420 O
0.000 8.988 10.047 O
0.000 2.813 3.258 O
1.969 7.236 12.209 O
```

Total magnetic moment (μB/cell): 0.005
Formation energy (no corrections) (eV/f.u.): -35.845
Space group: C2/m


[13]
Density functional theory data (SCAN) for a crystal of KCuBr2 relaxed with PBEsol.

```
KCuBr2
1.0
4.071 0.000 0.000
0.000 4.759 0.014
-2.035 -0.553 6.324
K Br Cu
1 2 1
Cartesian
2.035 3.576 2.982 K
0.000 3.677 0.290 Br
0.000 1.185 3.701 Br
0.000 2.355 5.711 Cu
```

Total magnetic moment (μB/cell): 0.000
Formation energy (no corrections) (eV/f.u.): -4.219
Space group: Cm
Offset from the most stable computed form (meV/atom): 17


[14]
Density functional theory data (SCAN) for a crystal of YSiP2 relaxed with PBEsol.

```
YSiP2
1.0
3.462 0.000 0.000
1.731 4.700 0.012
1.731 1.960 4.272
P Si Y
2 1 1
Cartesian
3.462 5.302 3.410 P
3.462 1.358 0.873 P
1.731 0.000 0.000 Si
1.731 3.330 2.142 Y
```

Total magnetic moment (μB/cell): 0.000
Formation energy (no corrections) (eV/f.u.): -1.812
Space group: Immm


[15]
Density functional theory data (SCAN) for a crystal of Ba2LiNi relaxed with PBEsol.

```
Ba2LiNi
1.0
4.708 0.000 0.000
0.000 4.708 0.000
-2.354 -2.354 5.182
Ba Li Ni
2 1 1
Cartesian
0.000 0.000 0.000 Ba
2.354 0.000 2.591 Ba
2.354 2.354 0.000 Li
0.000 2.354 2.591 Ni
```

Total magnetic moment (μB/cell): 0.000
Energy of formation from the pure elements (eV/atom): 0.403
Space group: I-4m2


[16]
Density functional theory data (SCAN) for a crystal of CrTe2HN relaxed with PBEsol.

```
CrTe2HN
1.0
2.878 0.000 0.000
0.000 5.080 0.000
0.000 0.000 5.080
Cr Te H N
1 2 1 1
Cartesian
1.439 2.540 2.540 Cr
0.000 0.000 2.540 Te
0.000 2.540 0.000 Te
0.000 0.000 0.000 H
1.439 0.000 0.000 N
```

Total magnetic moment (μB/cell): 4.135
E (eV/atom): -20.24
Space group: P4/mmm


[17]
Density functional theory data (SCAN) for a crystal of SiN3Cl relaxed with PBEsol.

```
SiN3Cl
1.0
-3.430 -1.287 -0.101
0.791 -2.320 2.724
-1.020 2.527 2.449
Si N Cl
1 3 1
Cartesian
-1.830 -0.540 2.536 Si
0.395 -1.160 1.362 N
-0.510 1.264 1.225 N
-1.715 -0.643 -0.050 N
0.000 0.000 0.000 Cl
```

Total magnetic moment (μB/cell): 0.000
Formation energy (no corrections) (eV/f.u.): 14.300
Space group: Pm-3m


[18]
Density functional theory data (SCAN) for a crystal of Co2CuCl relaxed with PBEsol.

```
Co2CuCl
1.0
-1.920 -2.119 0.104
1.985 -1.854 -1.130
1.967 -1.492 5.896
Co Cu Cl
2 1 1
Cartesian
0.599 -0.542 0.021 Co
0.988 -2.799 0.577 Co
1.393 -1.144 2.402 Cu
1.028 -2.655 4.253 Cl
```

Total magnetic moment (μB/cell): 3.831
Formation energy (no corrections) (eV/f.u.): 0.713
Space group: Pm


[19]
Density functional theory data (SCAN) for a crystal of YMg2Cd relaxed with PBEsol.

```
YMg2Cd
1.0
-1.870 -2.696 -0.106
3.205 -2.097 -3.209
3.552 -1.464 4.506
Y Mg Cd
1 2 1
Cartesian
0.668 -2.396 -1.657 Y
1.007 -3.412 3.236 Mg
0.676 -0.748 1.163 Mg
3.379 -1.781 0.648 Cd
```

Total magnetic moment (μB/cell): 0.261
Energy of formation from the pure elements (eV/atom): -0.169
Space group: P2/m


[20]
Density functional theory data (SCAN) for a crystal of MnPRh3 relaxed with PBEsol.

```
MnPRh3
1.0
-3.937 1.583 -0.625
-1.696 -3.519 1.771
0.141 1.873 3.856
P Mn Rh
1 1 3
Cartesian
0.000 0.000 0.000 P
-2.746 -0.031 2.501 Mn
-0.848 -1.759 0.885 Rh
0.071 0.936 1.928 Rh
-1.968 0.792 -0.312 Rh
```

Total magnetic moment (μB/cell): 5.026
Energy of formation from the pure elements (eV/atom): -0.250
Space group: Pm-3m


[21]
Density functional theory data (SCAN) for a crystal of CsTa2AsIr relaxed with PBEsol.

```
CsTa2AsIr
1.0
4.840 0.000 0.000
0.000 5.025 0.000
0.000 0.000 5.025
Cs As Ir Ta
1 1 1 2
Cartesian
0.000 0.000 0.000 Cs
2.420 2.512 2.512 As
2.420 0.000 0.000 Ir
0.000 0.000 2.512 Ta
0.000 2.512 0.000 Ta
```

Total magnetic moment (μB/cell): 0.000
Energy of formation from the pure elements (eV/atom): 3.471
Space group: P4/mmm


[22]
Density functional theory data (SCAN) for a crystal of GeH3F relaxed with PBEsol.

```
GeH3F
1.0
3.408 0.000 0.000
0.000 3.408 0.000
0.000 0.000 3.408
H Ge F
3 1 1
Cartesian
0.000 1.704 0.000 H
0.000 0.000 1.704 H
1.704 0.000 0.000 H
1.704 1.704 1.704 Ge
0.000 0.000 0.000 F
```

Total magnetic moment (μB/cell): 0.215
E (eV/atom): -5.66
Space group: Pm-3m


[23]
Density functional theory data (SCAN) for a crystal of KCu2 relaxed with PBEsol.

```
KCu2
1.0
4.070 0.000 0.000
-2.035 3.525 0.000
0.000 0.000 4.832
Cu K
2 1
Cartesian
0.000 2.350 0.000 Cu
2.035 1.175 0.000 Cu
0.000 0.000 2.416 K
```

Total magnetic moment (μB/cell): 0.000
Energy of formation from the pure elements (eV/atom): 0.438
Space group: P6/mmm


[24]
Density functional theory data (SCAN) for a crystal of ScSb2TeRh relaxed with PBEsol.

```
ScSb2TeRh
1.0
-4.449 -0.685 2.693
-0.684 -4.683 -2.320
2.707 -2.319 3.882
Sc Sb Te Rh
1 2 1 1
Cartesian
0.000 0.000 0.000 Sc
1.353 -1.160 1.941 Sb
-0.342 -2.341 -1.160 Sb
-2.224 -0.342 1.346 Te
-1.213 -3.843 2.127 Rh
```

Total magnetic moment (μB/cell): 0.001
Formation energy (no corrections) (eV/f.u.): 3.807
Space group: P4/mmm


[25]
Density functional theory data (SCAN) for a crystal of Sc3TaF relaxed with PBEsol.

```
Sc3TaF
1.0
5.103 0.000 0.000
0.000 5.103 0.000
0.000 0.000 5.103
Sc F Ta
3 1 1
Cartesian
0.000 2.552 0.000 Sc
0.000 0.000 2.552 Sc
2.552 0.000 0.000 Sc
2.552 2.552 2.552 F
0.000 0.000 0.000 Ta
```

Total magnetic moment (μB/cell): 0.000
Formation energy (no corrections) (eV/f.u.): 2.386
Space group: Pm-3m


[26]
Density functional theory data (SCAN) for a crystal of TlCo2Re relaxed with PBEsol.

```
TlCo2Re
1.0
3.714 0.000 0.000
0.000 3.714 0.000
-1.857 -1.857 3.982
Re Tl Co
1 1 2
Cartesian
1.857 1.857 0.000 Re
0.000 1.857 1.991 Tl
0.000 0.000 0.000 Co
1.857 0.000 1.991 Co
```

Total magnetic moment (μB/cell): 0.787
Energy of formation from the pure elements (eV/atom): 0.854
Space group: I-4m2
Offset from the most stable computed form (meV/atom): 260


[27]
Density functional theory data (SCAN) for a crystal of CsCaBr2 relaxed with PBEsol.

```
CsCaBr2
1.0
4.505 0.000 0.000
2.252 3.901 0.000
2.252 1.300 10.061
Cs Ca Br
1 1 2
Cartesian
0.000 0.000 0.000 Cs
4.505 2.601 5.030 Ca
6.757 3.901 3.608 Br
2.252 1.300 6.452 Br
```

Total magnetic moment (μB/cell): 0.264
Formation energy (no corrections) (eV/f.u.): -6.385
Space group: R-3m
Offset from the most stable computed form (meV/atom): 0


[28]
Density functional theory data (SCAN) for a crystal of CuMoCl3 relaxed with PBEsol.

```
CuMoCl3
1.0
-4.119 -0.062 -2.148
-2.139 -0.326 4.111
-0.205 4.634 0.260
Mo Cu Cl
1 1 3
Cartesian
-3.231 2.123 1.112 Mo
0.000 0.000 0.000 Cu
-1.069 -0.163 2.055 Cl
-0.102 2.317 0.130 Cl
-2.059 -0.031 -1.074 Cl
```

Total magnetic moment (μB/cell): 4.642
Formation energy (no corrections) (eV/f.u.): 0.450
Space group: Pm-3m